Record 1
Below is an optimized crystal structure of Dy5PaC4, with properties calculated at the GGA-PBE level.

Geometry as extended XYZ:
```
10
Lattice="-0.0769 3.5809 -0.3954 0.3632 -0.7913 -7.2362 -7.7295 -1.8066 1.5619" Properties=species:S:1:pos:R:3 pbc="T T T"
Dy -2.3851 -0.2513 -1.8115
Dy -2.2885 -0.6787 -5.7011
Dy -5.1547 1.6617 -0.3686
Dy 0.1432 1.3948 -3.8158
Dy -5.0581 1.2342 -4.2582
Pa -0.0385 1.7904 -0.1977
C -2.5307 1.7206 -0.3451
C 0.0569 -0.1907 -1.7379
C -4.9125 -0.7377 -5.7246
C -7.5001 1.1737 -4.3317
```

ΔH_f (0 K) ... -299 kJ/mol of formula units
Space-group type ... C2/m (12)
Raw total energy ... -72.503 eV/cell

***

Record 2
Below is an optimized crystal structure of Co2OsPt, with properties calculated at the GGA-PBE level.

Geometry as extended XYZ:
```
4
Lattice="2.6560 0.0000 0.0000 0.0000 2.6560 0.0000 0.0000 0.0000 7.2693" Properties=species:S:1:pos:R:3 pbc="T T T"
Co 0.0000 0.0000 0.0797
Co 0.0000 0.0000 3.5550
Os 1.3280 1.3280 1.8173
Pt 1.3280 1.3280 5.4520
```

ΔH_f (0 K) ... 19 kJ/mol of formula units
Space-group type ... P4/mmm (123)
Raw total energy ... -31.286 eV/cell

***

Record 3
Below is an optimized crystal structure of Na3Ca2PaTe6, with properties calculated at the GGA-PBE level.

Geometry as extended XYZ:
```
12
Lattice="7.8021 -0.0023 -0.0023 -3.9011 6.7568 -0.0023 -1.3036 -2.2571 7.4793" Properties=species:S:1:pos:R:3 pbc="T T T"
Na -2.5594 4.4769 3.7373
Na 5.1568 0.0205 3.7373
Na 1.2987 2.2487 3.7373
Ca 0.0034 4.5018 -0.0023
Ca 3.8976 2.2527 -0.0023
Pa 0.0000 0.0000 0.0000
Te 3.8406 2.3497 5.7231
Te 2.6642 4.6129 1.7367
Te -1.2432 2.1477 1.7515
Te 0.1159 4.5009 5.7231
Te -0.0667 -0.1155 5.7380
Te 2.4815 -0.0035 1.7515
```

Formation energy (no corrections) ... -1.19 eV/atom
Space-group type ... C2/m (12)
Raw total energy ... -50.592 eV/cell